No. 1
This record from Alexandria describes a geometry-optimized Na3ThB24 structure. The functional is GGA-PBE.

Cell: 4.1464 4.1464 16.6502 Å, 90.00 90.00 90.00°
Fractional positions:
B: 0.2991 0.0000 0.8769
B: 0.7009 0.0000 0.8769
B: 0.0000 0.6984 0.3747
B: 0.3016 0.0000 0.6253
B: 0.0000 0.0000 0.9510
B: 0.0000 0.0000 0.8010
B: 0.3016 0.0000 0.3747
B: 0.0000 0.3016 0.6253
B: 0.0000 0.0000 0.4501
B: 0.0000 0.3016 0.3747
B: 0.2991 0.0000 0.1231
B: 0.0000 0.2991 0.1231
B: 0.0000 0.0000 0.0491
Na: 0.5000 0.5000 0.2639
Na: 0.5000 0.5000 0.5000
B: 0.6984 0.0000 0.3747
B: 0.0000 0.6984 0.6253
Th: 0.5000 0.5000 0.0000
B: 0.0000 0.0000 0.7006
B: 0.0000 0.0000 0.1990
B: 0.0000 0.2991 0.8769
Na: 0.5000 0.5000 0.7361
B: 0.0000 0.0000 0.5499
B: 0.7009 0.0000 0.1231
B: 0.0000 0.0000 0.2994
B: 0.0000 0.7009 0.8769
B: 0.6984 0.0000 0.6253
B: 0.0000 0.7009 0.1231

Computed properties:
ΔE_f = -18.0 kJ/mol of atoms
Fermi-level density of states = 4.4 states/eV/f.u.
Density = 3.251 g cm⁻³
Space-group type = P4/mmm
Total moment = 0.00 Bohr magnetons per cell

No. 2
This record from Alexandria describes a geometry-optimized NaTiB structure. The functional is GGA-PBE.

Cell: 22.7115 11.3670 11.3670 Å, 163.87 168.94 11.06°
Fractional positions:
Na: 0.2528 0.9260 0.0740
Na: 0.7472 0.0740 0.9260
B: 0.2499 0.7687 0.2313
B: 0.7501 0.2313 0.7687
Ti: 0.7494 0.8055 0.1945
Ti: 0.2506 0.1945 0.8055

Computed properties:
ΔE_f = -24.3 kJ/mol of atoms
Energy above the lowest structure with this stoichiometry = 0.046 eV per atom
Fermi-level density of states = 1.9 states/eV/f.u.
Density = 2.517 g cm⁻³
Space-group type = C2/m
Total moment = 0.00 Bohr magnetons per cell

No. 3
This record from Alexandria describes a geometry-optimized NaTiB structure. The functional is GGA-PBE.

Cell: 6.2165 3.1288 10.6546 Å, 90.00 90.00 90.00°
Fractional positions:
Ti: 0.5315 0.7500 0.7708
B: 0.7093 0.7500 0.2829
B: 0.7907 0.2500 0.7829
B: 0.2907 0.2500 0.7171
Na: 0.2267 0.2500 0.9816
Na: 0.2733 0.7500 0.4816
B: 0.2093 0.7500 0.2171
Na: 0.7267 0.2500 0.5184
Na: 0.7733 0.7500 0.0184
Ti: 0.4685 0.2500 0.2292
Ti: 0.9685 0.2500 0.2708
Ti: 0.0315 0.7500 0.7292

Computed properties:
ΔE_f = 29.2 kJ/mol of atoms
Energy above the lowest structure with this stoichiometry = 0.601 eV per atom
Fermi-level density of states = 2.0 states/eV/f.u.
Density = 2.618 g cm⁻³
Space-group type = Pnma
Total moment = 0.00 Bohr magnetons per cell

No. 4
This record from Alexandria describes a geometry-optimized NaTiB structure. The functional is GGA-PBE.

Cell: 4.9471 3.0649 7.0523 Å, 90.00 80.56 90.00°
Fractional positions:
B: 0.4337 0.7500 0.4941
Na: 0.7174 0.7500 0.1336
Ti: 0.1603 0.2500 0.3765
Na: 0.2826 0.2500 0.8664
B: 0.5663 0.2500 0.5059
Ti: 0.8397 0.7500 0.6235

Computed properties:
ΔE_f = 9.5 kJ/mol of atoms
Energy above the lowest structure with this stoichiometry = 0.396 eV per atom
Fermi-level density of states = 1.9 states/eV/f.u.
Density = 2.571 g cm⁻³
Space-group type = P2_1/m
Total moment = 0.00 Bohr magnetons per cell

No. 5
This record from Alexandria describes a geometry-optimized Na3TiB structure. The functional is GGA-PBE.

Cell: 5.0077 5.0077 5.0077 Å, 90.00 90.00 90.00°
Fractional positions:
Na: 0.0000 0.5000 0.0000
Na: 0.0000 0.0000 0.5000
Ti: 0.5000 0.5000 0.5000
Na: 0.5000 0.0000 0.0000
B: 0.0000 0.0000 0.0000

Computed properties:
ΔE_f = 134.7 kJ/mol of atoms
Energy above the lowest structure with this stoichiometry = 0.000 eV per atom
Fermi-level density of states = 5.6 states/eV/f.u.
Density = 1.688 g cm⁻³
Space-group type = Pm-3m
Total moment = 0.00 Bohr magnetons per cell

No. 6
This record from Alexandria describes a geometry-optimized NaTiB structure. The functional is GGA-PBE.

Cell: 12.3502 3.0776 3.0778 Å, 120.00 82.65 97.17°
Fractional positions:
Ti: 0.2344 0.3223 0.1681
Na: 0.9970 0.9139 0.5864
Na: 0.7229 0.1466 0.3309
B: 0.3599 0.0298 0.4575
Ti: 0.4855 0.4041 0.0802
B: 0.3599 0.6966 0.7908

Computed properties:
ΔE_f = -28.7 kJ/mol of atoms
Energy above the lowest structure with this stoichiometry = 0.000 eV per atom
Fermi-level density of states = 1.5 states/eV/f.u.
Density = 2.706 g cm⁻³
Space-group type = P1
Total moment = 0.56 Bohr magnetons per cell

What did the fourth record say?
This record from Alexandria describes a geometry-optimized NaTiB structure. The functional is GGA-PBE.

Cell: 4.9471 3.0649 7.0523 Å, 90.00 80.56 90.00°
Fractional positions:
B: 0.4337 0.7500 0.4941
Na: 0.7174 0.7500 0.1336
Ti: 0.1603 0.2500 0.3765
Na: 0.2826 0.2500 0.8664
B: 0.5663 0.2500 0.5059
Ti: 0.8397 0.7500 0.6235

Computed properties:
ΔE_f = 9.5 kJ/mol of atoms
Energy above the lowest structure with this stoichiometry = 0.396 eV per atom
Fermi-level density of states = 1.9 states/eV/f.u.
Density = 2.571 g cm⁻³
Space-group type = P2_1/m
Total moment = 0.00 Bohr magnetons per cell

Repeat the sixth record exactly.
This record from Alexandria describes a geometry-optimized NaTiB structure. The functional is GGA-PBE.

Cell: 12.3502 3.0776 3.0778 Å, 120.00 82.65 97.17°
Fractional positions:
Ti: 0.2344 0.3223 0.1681
Na: 0.9970 0.9139 0.5864
Na: 0.7229 0.1466 0.3309
B: 0.3599 0.0298 0.4575
Ti: 0.4855 0.4041 0.0802
B: 0.3599 0.6966 0.7908

Computed properties:
ΔE_f = -28.7 kJ/mol of atoms
Energy above the lowest structure with this stoichiometry = 0.000 eV per atom
Fermi-level density of states = 1.5 states/eV/f.u.
Density = 2.706 g cm⁻³
Space-group type = P1
Total moment = 0.56 Bohr magnetons per cell